[1]
# AcCe2Hg PBE-GGA relaxed
# - Size of the total moment: 1.77 μB per cell
# - Volume: 31.89 Å³/atom
# - Energy of formation: -0.054 eV per atom
# - D(E_F): 14.12 states/eV/f.u.
# - Distance to the lowest polymorph of the same formula: 0.00 eV/f.u.
data_AcCe2Hg
_cell_length_a 3.7958
_cell_length_b 3.7958
_cell_length_c 8.8536
_cell_angle_alpha 90.00
_cell_angle_beta 90.00
_cell_angle_gamma 90.00
_symmetry_space_group_name_H-M 'P 4/m m m'
_symmetry_Int_Tables_number 123
_symmetry_space_group_name_Hall '-P 4 2'
loop_
_atom_site_label
_atom_site_fract_x
_atom_site_fract_y
_atom_site_fract_z
Ac1 0.0000 0.0000 0.0000
Ce1 0.5000 0.5000 0.2844
Hg1 0.0000 0.0000 0.5000

---

[2]
# AcPuN2 PBE-GGA relaxed
# - Size of the total moment: 13.53 μB per cell
# - Volume: 17.36 Å³/atom
# - D(E_F): 7.46 states/eV/f.u.
# - Distance to the lowest polymorph of the same formula: 0.04 eV/f.u.
# - E_form (uncorrected): -1.12 eV/atom
data_AcPuN2
_cell_length_a 3.6376
_cell_length_b 3.6376
_cell_length_c 18.1768
_cell_angle_alpha 90.00
_cell_angle_beta 90.00
_cell_angle_gamma 120.00
_symmetry_space_group_name_H-M 'R -3 m'
_symmetry_Int_Tables_number 166
_symmetry_space_group_name_Hall '-R 3 2"'
loop_
_atom_site_label
_atom_site_fract_x
_atom_site_fract_y
_atom_site_fract_z
Ac1 0.0000 0.0000 0.0000
Pu1 0.0000 0.0000 0.5000
N1 0.0000 0.0000 0.2340

---

[3]
# Zr2ZnPPb PBE-GGA relaxed
# - Size of the total moment: 0.00 μB per cell
# - Volume: 25.80 Å³/atom
# - Energy of formation: 0.158 eV per atom
# - D(E_F): 4.80 states/eV/f.u.
data_Zr2ZnPPb
_cell_length_a 4.8979
_cell_length_b 4.8979
_cell_length_c 5.3763
_cell_angle_alpha 90.00
_cell_angle_beta 90.00
_cell_angle_gamma 90.00
_symmetry_space_group_name_H-M 'P 4/m m m'
_symmetry_Int_Tables_number 123
_symmetry_space_group_name_Hall '-P 4 2'
loop_
_atom_site_label
_atom_site_fract_x
_atom_site_fract_y
_atom_site_fract_z
Zr1 0.0000 0.5000 0.0000
Zn1 0.0000 0.0000 0.5000
P1 0.5000 0.5000 0.0000
Pb1 0.5000 0.5000 0.5000

---

[4]
# PaIn2Rh PBE-GGA relaxed
# - Size of the total moment: 0.77 μB per cell
# - Volume: 21.00 Å³/atom
# - Energy of formation: -0.207 eV per atom
# - D(E_F): 5.04 states/eV/f.u.
# - Distance to the lowest polymorph of the same formula: 0.63 eV/f.u.
data_PaIn2Rh
_cell_length_a 3.2577
_cell_length_b 3.2577
_cell_length_c 7.9151
_cell_angle_alpha 90.00
_cell_angle_beta 90.00
_cell_angle_gamma 90.00
_symmetry_space_group_name_H-M 'P 4/m m m'
_symmetry_Int_Tables_number 123
_symmetry_space_group_name_Hall '-P 4 2'
loop_
_atom_site_label
_atom_site_fract_x
_atom_site_fract_y
_atom_site_fract_z
Pa1 0.0000 0.0000 0.0000
In1 0.5000 0.5000 0.2973
Rh1 0.0000 0.0000 0.5000